[1]
Below is crystalline Mn2HgPt at its relaxed geometry, with properties calculated at the PBE level.

Unit cell a=4.5354 b=4.5354 c=4.5354 alpha=60.00 beta=60.00 gamma=60.00
Each line ends with the local moment (μB).
Sites, in units of the cell vectors:
Pt  0.7500  0.7500  0.7500  0.21
Mn  0.0000  0.0000  0.0000  3.75
Mn  0.2500  0.2500  0.2500  3.83
Hg  0.5000  0.5000  0.5000  -0.04

Values from the calculation:
- Formation energy from the elements: 0.0957 eV per atom
- VASP energy: -6.075 eV per atom
- Calculated volume: 16.49 Å³/atom
- Crystal system: cubic

[2]
Below is crystalline MnHg2Pt at its relaxed geometry, with properties calculated at the PBE level.

Unit cell a=4.6807 b=4.6807 c=4.6807 alpha=60.00 beta=60.00 gamma=60.00
Each line ends with the local moment (μB).
Sites, in units of the cell vectors:
Mn  0.0000  0.0000  0.0000  3.87
Pt  0.5000  0.5000  0.5000  0.04
Hg  0.7500  0.7500  0.7500  -0.04
Hg  0.2500  0.2500  0.2500  -0.04

Values from the calculation:
- Formation energy from the elements: 0.1246 eV per atom
- VASP energy: -3.829 eV per atom
- Calculated volume: 18.13 Å³/atom
- Crystal system: cubic

[3]
Below is crystalline MnHgPt2 at its relaxed geometry, with properties calculated at the PBE level.

Unit cell a=3.6620 b=2.9773 c=6.7733 alpha=64.16 beta=90.00 gamma=90.00
Each line ends with the local moment (μB).
Sites, in units of the cell vectors:
Pt  0.0000  0.4793  0.5216  0.18
Pt  0.0000  0.0207  0.9784  0.18
Hg  0.5000  0.2500  0.2500  -0.01
Mn  0.5000  0.7500  0.7500  3.83

Values from the calculation:
- Formation energy from the elements: -0.1878 eV per atom
- VASP energy: -5.576 eV per atom
- Calculated volume: 16.62 Å³/atom
- Crystal system: monoclinic

[4]
Below is crystalline Mn2HgPt at its relaxed geometry, with properties calculated at the PBE level.

Unit cell a=7.0290 b=7.0290 c=5.6285 alpha=51.36 beta=51.36 gamma=90.00
Each line ends with the local moment (μB).
Sites, in units of the cell vectors:
Mn  0.3750  0.4067  0.7500  -0.18
Mn  0.1567  0.6250  0.2500  -0.18
Mn  0.5933  0.1250  0.2500  -0.19
Mn  0.8750  0.8433  0.7500  -0.15
Hg  0.7500  0.2500  0.5000  0.00
Hg  0.0000  0.0000  0.0000  0.00
Pt  0.5000  0.5000  0.0000  0.01
Pt  0.2500  0.7500  0.5000  0.01

Values from the calculation:
- Formation energy from the elements: 0.9385 eV per atom
- VASP energy: -5.232 eV per atom
- Calculated volume: 16.31 Å³/atom
- Crystal system: tetragonal

[5]
Below is crystalline Mn2HgPt at its relaxed geometry, with properties calculated at the PBE level.

Unit cell a=4.5452 b=4.5452 c=5.4837 alpha=80.75 beta=80.75 gamma=37.62
Each line ends with the local moment (μB).
Sites, in units of the cell vectors:
Mn  0.4956  0.4956  0.5209  3.71
Mn  0.0044  0.0044  0.9791  3.71
Pt  0.7500  0.7500  0.7500  0.26
Hg  0.2500  0.2500  0.2500  -0.04

Values from the calculation:
- Formation energy from the elements: 0.1381 eV per atom
- VASP energy: -6.032 eV per atom
- Calculated volume: 17.04 Å³/atom
- Crystal system: monoclinic

[6]
Below is crystalline MnHg2Pt at its relaxed geometry, with properties calculated at the PBE level.

Unit cell a=4.7028 b=4.7028 c=4.7028 alpha=60.00 beta=60.00 gamma=60.00
Each line ends with the local moment (μB).
Sites, in units of the cell vectors:
Pt  0.7500  0.7500  0.7500  0.10
Hg  0.0000  0.0000  0.0000  -0.02
Hg  0.2500  0.2500  0.2500  -0.03
Mn  0.5000  0.5000  0.5000  3.94

Values from the calculation:
- Formation energy from the elements: 0.1459 eV per atom
- VASP energy: -3.808 eV per atom
- Calculated volume: 18.39 Å³/atom
- Crystal system: cubic

[7]
Below is crystalline MnHg2Pt at its relaxed geometry, with properties calculated at the PBE level.

Unit cell a=3.0461 b=3.0461 c=8.2420 alpha=90.00 beta=90.00 gamma=90.00
Each line ends with the local moment (μB).
Sites, in units of the cell vectors:
Mn  0.0000  0.0000  0.5305  3.87
Hg  0.5000  0.5000  0.2797  0.01
Hg  0.0000  0.0000  0.9723  0.01
Pt  0.5000  0.5000  0.7174  0.27

Values from the calculation:
- Formation energy from the elements: 0.0205 eV per atom
- VASP energy: -3.933 eV per atom
- Calculated volume: 19.12 Å³/atom
- Crystal system: tetragonal

[8]
Below is crystalline MnHgPt2 at its relaxed geometry, with properties calculated at the PBE level.

Unit cell a=9.1815 b=9.1815 c=9.1815 alpha=18.44 beta=18.44 gamma=18.44
Each line ends with the local moment (μB).
Sites, in units of the cell vectors:
Mn  0.7500  0.7500  0.7500  3.78
Pt  0.4912  0.4912  0.4912  0.26
Pt  0.0088  0.0088  0.0088  0.26
Hg  0.2500  0.2500  0.2500  0.00

Values from the calculation:
- Formation energy from the elements: -0.1067 eV per atom
- VASP energy: -5.495 eV per atom
- Calculated volume: 16.92 Å³/atom
- Crystal system: trigonal

[9]
Below is crystalline Mn2HgPt2 at its relaxed geometry, with properties calculated at the PBE level.

Unit cell a=7.6650 b=7.6650 c=2.8953 alpha=90.00 beta=90.00 gamma=90.00
Each line ends with the local moment (μB).
Sites, in units of the cell vectors:
Hg  0.0000  0.0000  0.0000  0.01
Hg  0.5000  0.5000  0.0000  0.01
Pt  0.8544  0.3544  0.5000  0.29
Pt  0.6456  0.8544  0.5000  0.30
Pt  0.1456  0.6456  0.5000  0.29
Pt  0.3544  0.1456  0.5000  0.30
Mn  0.8530  0.6470  0.0000  3.79
Mn  0.6470  0.1470  0.0000  3.79
Mn  0.3530  0.8530  0.0000  3.79
Mn  0.1470  0.3530  0.0000  3.79

Values from the calculation:
- Formation energy from the elements: -0.0988 eV per atom
- VASP energy: -6.243 eV per atom
- Calculated volume: 17.01 Å³/atom
- Crystal system: tetragonal

[10]
Below is crystalline MnHgPt2 at its relaxed geometry, with properties calculated at the PBE level.

Unit cell a=9.1778 b=9.1778 c=9.1778 alpha=18.40 beta=18.40 gamma=18.40
Each line ends with the local moment (μB).
Sites, in units of the cell vectors:
Mn  0.7451  0.7451  0.7451  3.74
Pt  0.2523  0.2523  0.2523  0.10
Pt  0.0046  0.0046  0.0046  0.30
Hg  0.4980  0.4980  0.4980  -0.01

Values from the calculation:
- Formation energy from the elements: 0.0501 eV per atom
- VASP energy: -5.338 eV per atom
- Calculated volume: 16.82 Å³/atom
- Crystal system: trigonal

[11]
Below is crystalline Mn2HgPt2 at its relaxed geometry, with properties calculated at the PBE level.

Unit cell a=7.6096 b=7.6096 c=2.9175 alpha=90.00 beta=90.00 gamma=90.00
Each line ends with the local moment (μB).
Sites, in units of the cell vectors:
Mn  0.3416  0.1584  0.5000  3.79
Mn  0.8416  0.3416  0.5000  3.80
Mn  0.6584  0.8416  0.5000  3.79
Mn  0.1584  0.6584  0.5000  3.80
Pt  0.1362  0.3638  0.0000  0.25
Pt  0.3638  0.8638  0.0000  0.24
Pt  0.6362  0.1362  0.0000  0.24
Pt  0.8638  0.6362  0.0000  0.25
Hg  0.0000  0.0000  0.0000  -0.01
Hg  0.5000  0.5000  0.0000  -0.01

Values from the calculation:
- Formation energy from the elements: -0.1710 eV per atom
- VASP energy: -6.315 eV per atom
- Calculated volume: 16.89 Å³/atom
- Crystal system: tetragonal

[12]
Below is crystalline Mn2HgPt at its relaxed geometry, with properties calculated at the PBE level.

Unit cell a=4.4087 b=4.4086 c=3.4224 alpha=90.00 beta=90.00 gamma=90.00
Each line ends with the local moment (μB).
Sites, in units of the cell vectors:
Mn  0.0000  0.0000  0.0000  3.85
Mn  0.5000  0.5000  0.0000  3.85
Hg  0.0000  0.5000  0.5000  -0.04
Pt  0.5000  0.0000  0.5000  0.27

Values from the calculation:
- Formation energy from the elements: 0.0223 eV per atom
- VASP energy: -6.148 eV per atom
- Calculated volume: 16.63 Å³/atom
- Crystal system: tetragonal